Material: CsHAu2F8
Method: DFT, PBE
State: relaxed

Lattice parameters (Å, degrees): 4.9439 4.9439 8.5846 73.26 73.26 60.00
Closest atoms and distances in Å follow each position.
Positions (direct):
1 Cs 0.0000 0.0000 0.0000  12 F 3.05-3.34
2 H 0.5000 0.5000 0.5000  6 F 1.75
3 Au 0.7930 0.7930 0.6210  1 F 1.99
4 Au 0.2070 0.2070 0.3790  1 F 1.99
5 F 0.7109 0.7109 0.8674  1 Au 1.99
6 F 0.2891 0.2891 0.1326  1 Au 1.99
7 F 0.7069 0.2142 0.3714  1 H 1.75
8 F 0.7858 0.2931 0.6286  1 H 1.75
9 F 0.2925 0.7858 0.6286  1 H 1.75
10 F 0.2142 0.7075 0.3714  1 H 1.75
11 F 0.7075 0.7069 0.3714  1 H 1.75
12 F 0.2931 0.2925 0.6286  1 H 1.75

Summary:
space-group type: R-3m
calculated total energy: -3.02 eV/atom
total magnetization: 0.86 μB/f.u.

Material: Cs6H2AuF3
Method: DFT, PBE
State: relaxed

Lattice parameters (Å, degrees): 4.5091 9.2426 10.2690 104.14 102.68 90.00
Closest atoms and distances in Å follow each position.
Positions (direct):
1 Cs 0.3212 0.9155 0.6424  3 F 2.97-3.27, 2 H 3.28
2 Cs 0.6658 0.5843 0.3317  3 F 3.14-3.22, 3 H 3.18-3.23
3 Cs 0.6788 0.0845 0.3576  3 F 2.97-3.27, 2 H 3.28
4 Cs 0.9919 0.2817 0.9838  3 F 3.00-3.11
5 Cs 0.0081 0.7183 0.0162  3 F 3.00-3.11
6 Cs 0.3342 0.4157 0.6683  3 F 3.14-3.22, 3 H 3.18-3.23
7 H 0.8296 0.6631 0.6592  6 Cs 3.18-3.48
8 H 0.1704 0.3369 0.3408  6 Cs 3.18-3.48
9 Au 0.5000 0.0000 0.0000  6 Cs 3.47-3.48
10 F 0.5000 0.5000 0.0000  6 Cs 3.00-3.22
11 F 0.8320 0.1773 0.6640  6 Cs 2.97-3.27
12 F 0.1680 0.8227 0.3360  6 Cs 2.97-3.27

Summary:
space-group type: C2/m
calculated total energy: -3.13 eV/atom
total magnetization: 0.10 μB/f.u.

Material: Cs4HAuF2
Method: DFT, PBE
State: relaxed

Lattice parameters (Å, degrees): 4.5582 8.1672 7.9554 70.98 90.00 90.00
Closest atoms and distances in Å follow each position.
Positions (direct):
1 Cs 0.0000 0.7713 0.7577  3 F 3.09-3.22, 2 H 3.32
2 Cs 0.0000 0.2287 0.2423  3 F 3.09-3.22, 2 H 3.32
3 Cs 0.5000 0.7924 0.2283  3 F 3.06-3.15
4 Cs 0.5000 0.2076 0.7717  3 F 3.06-3.15
5 H 0.5000 0.5000 0.0000  6 Cs 3.32-3.44
6 Au 0.0000 0.5000 0.5000  6 Cs 3.47-3.49
7 F 0.0000 0.0000 0.0000  6 Cs 3.06-3.09
8 F 0.5000 0.0000 0.5000  6 Cs 3.15-3.22

Summary:
space-group type: P2/m
calculated total energy: -3.13 eV/atom
total magnetization: 0.05 μB/f.u.

Material: CsHfAu2F
Method: DFT, PBE
State: relaxed

Lattice parameters (Å, degrees): 5.8537 4.6581 5.8537 90.00 90.00 90.00
Closest atoms and distances in Å follow each position.
Positions (direct):
1 Cs 0.0000 0.0000 0.0000  2 F 2.33
2 Hf 0.5000 0.5000 0.5000  8 Au 3.74, 4 F 4.14
3 Au 0.0000 0.0000 0.5000  2 Cs 2.93
4 Au 0.5000 0.0000 0.0000  2 Cs 2.93
5 F 0.0000 0.5000 0.0000  2 Cs 2.33

Summary:
space-group type: P4/mmm
calculated total energy: -3.10 eV/atom
total magnetization: 0.04 μB/f.u.
energy relative to the elements, uncorrected: 0.747 eV per atom

- What is the calculated total energy in the first record?
  -3.02 eV/atom

- calculated total energy of number 3 (Cs4HAuF2)?
  -3.13 eV/atom

- The lowest total magnetization belongs to which entry?
  CsHfAu2F

- What is the calculated total energy in the first record?
  -3.02 eV/atom